Here is a relaxed K2AsAu crystal from the Alexandria database. Energies are from GGA-PBEsol.

Unit cell a=4.5694 b=5.7065 c=5.8635 alpha=119.08 beta=112.93 gamma=90.00
With the nearest neighbours (Å) after each atom.
Atoms (fractional coordinates):
As1 0.5776 0.5779 0.1552  2 Au 2.43
Au1 0.1687 0.6684 0.3375  2 As 2.43
K1 0.9691 0.9690 0.9382  4 K 3.32-3.69, 4 Au 3.39-3.58, 1 As 3.59
K2 0.7845 0.2847 0.5690  4 K 3.32-3.69, 4 As 3.43-3.53, 1 Au 3.52

Calculated values
* formation energy: -0.39 eV/atom
* total moment: 0.00 μB/cell

Here is a relaxed GeOsSeN2 crystal from the Alexandria database. Energies are from GGA-PBEsol.

Unit cell a=3.5750 b=3.5750 c=6.2813 alpha=90.00 beta=90.00 gamma=90.00
With the nearest neighbours (Å) after each atom.
Atoms (fractional coordinates):
Ge1 0.0000 0.0000 0.0000  4 N 1.79
Os1 0.5000 0.5000 0.5000  4 Se 2.53
Se1 0.0000 0.0000 0.5000  4 Os 2.53
N1 0.0000 0.5000 0.0000  2 Ge 1.79
N2 0.5000 0.0000 0.0000  2 Ge 1.79

Calculated values
* total moment: 2.07 μB/cell
* formation energy (no corrections): 1732.4 meV per atom

Here is a relaxed SrMg2 crystal from the Alexandria database. Energies are from GGA-PBEsol.

Unit cell a=4.8914 b=8.2315 c=8.2315 alpha=120.00 beta=90.00 gamma=90.00
With the nearest neighbours (Å) after each atom.
Atoms (fractional coordinates):
Sr1 0.0000 0.0000 0.4194  7 Mg 3.45-3.76
Sr2 0.0000 0.4194 0.0000  7 Mg 3.45-3.76
Sr3 0.0000 0.5806 0.5806  7 Mg 3.45-3.76
Mg1 0.5000 0.6667 0.3333  3 Mg 3.23, 6 Sr 3.47
Mg2 0.0000 0.0000 0.0000  6 Mg 3.11, 3 Sr 3.45
Mg3 0.5000 0.3333 0.6667  3 Mg 3.23, 6 Sr 3.47
Mg4 0.5000 0.7665 0.0000  6 Mg 3.11-3.33
Mg5 0.5000 0.2335 0.2335  6 Mg 3.11-3.33
Mg6 0.5000 0.0000 0.7665  6 Mg 3.11-3.33

Calculated values
* formation energy: -0.02 eV/atom
* total moment: 0.00 μB/cell

Here is a relaxed Tl2CuP crystal from the Alexandria database. Energies are from GGA-PBEsol.

Unit cell a=3.9299 b=3.9299 c=7.3177 alpha=89.98 beta=105.60 gamma=120.00
With the nearest neighbours (Å) after each atom.
Atoms (fractional coordinates):
P1 0.4164 0.2084 0.6247  3 Cu 2.27
Tl1 0.9481 0.9737 0.9219  3 Cu 3.06-3.07, 3 P 3.07
Tl2 0.5520 0.7760 0.3280  3 P 3.07, 3 Cu 3.07
Cu1 0.0835 0.5419 0.6254  3 P 2.27

Calculated values
* formation energy: -0.01 eV/atom
* total moment: 0.00 μB/cell
* polymorph energy (0 for the lowest one): 0.0 meV per atom

Here is a relaxed AuCBr2Cl crystal from the Alexandria database. Energies are from GGA-PBEsol.

Unit cell a=3.8284 b=5.4134 c=5.4134 alpha=90.00 beta=90.00 gamma=90.00
With the nearest neighbours (Å) after each atom.
Atoms (fractional coordinates):
C1 0.5000 0.0000 0.0000  2 Au 1.91
Au1 0.0000 0.0000 0.0000  2 C 1.91
Br1 0.0000 0.0000 0.5000  2 Au 2.71
Br2 0.0000 0.5000 0.0000  2 Au 2.71
Cl1 0.5000 0.5000 0.5000  8 Br 3.32

Calculated values
* total moment: 1.20 μB/cell
* formation energy (no corrections): 1107.7 meV per atom

Here is a relaxed K3Rh crystal from the Alexandria database. Energies are from GGA-PBEsol.

Unit cell a=3.8094 b=3.8094 c=12.6184 alpha=90.00 beta=90.00 gamma=120.00
With the nearest neighbours (Å) after each atom.
Atoms (fractional coordinates):
K1 0.0000 0.0000 0.3301  3 Rh 3.07
K2 0.0000 0.0000 0.6699  3 Rh 3.07
K3 0.3333 0.6667 0.0000  6 K 3.81
Rh1 0.3333 0.6667 0.5000  6 K 3.07

Calculated values
* formation energy: 0.76 eV/atom
* total moment: 0.28 μB/cell